LiEuS: optimized geometry, PBE-GGA.

Values from the calculation:
The crystal system is hexagonal. The calculation puts the total energy at -6.71 eV per atom. As for the density: 5.2 g/cm³. The value obtained for the formation energy without anion corrections is -1274 meV per atom. As for the total magnetization: 7.956 μB per formula unit. As for the space-group type: No. 187.

CIF file:
```
data_LiEuS
_cell_length_a 4.271
_cell_length_b 4.068
_cell_length_c 4.068
_cell_angle_alpha 120.00
_cell_angle_beta 90.00
_cell_angle_gamma 90.00
_space_group_name_H-M_alt 'P 1'
_space_group_IT_number 1
_space_group_name_Hall 'P 1'
loop_
_atom_site_label
_atom_site_fract_x
_atom_site_fract_y
_atom_site_fract_z
Eu1 0.667 0.667 0.333
S1 0.167 0.000 0.000
Li1 0.167 0.333 0.667
```

***

LiEuSb2: optimized geometry, PBE-GGA.

Values from the calculation:
The crystal system is tetragonal. The calculation puts the total energy at -5.72 eV per atom. As for the density: 6.3 g/cm³. The excess energy over the best structure of this formula in the dataset is 56 meV per atom. The value obtained for the formation energy without anion corrections is -612 meV per atom. As for the total magnetization: 6.965 μB per formula unit. As for the space-group type: No. 123.

CIF file:
```
data_LiEuSb2
_cell_length_a 3.990
_cell_length_b 3.990
_cell_length_c 6.630
_cell_angle_alpha 90.00
_cell_angle_beta 90.00
_cell_angle_gamma 90.00
_space_group_name_H-M_alt 'P 1'
_space_group_IT_number 1
_space_group_name_Hall 'P 1'
loop_
_atom_site_label
_atom_site_fract_x
_atom_site_fract_y
_atom_site_fract_z
Sb1 0.000 0.000 0.282
Eu1 0.500 0.500 0.000
Sb2 0.000 0.000 0.718
Li1 0.500 0.500 0.500
```

***

LiEuSb2: optimized geometry, PBE-GGA.

Values from the calculation:
The crystal system is cubic. The calculation puts the total energy at -5.65 eV per atom. As for the density: 6.2 g/cm³. The excess energy over the best structure of this formula in the dataset is 121 meV per atom. The value obtained for the formation energy without anion corrections is -546 meV per atom. As for the total magnetization: 6.908 μB per formula unit. As for the space-group type: No. 225.

CIF file:
```
data_LiEuSb2
_cell_length_a 5.344
_cell_length_b 5.344
_cell_length_c 5.344
_cell_angle_alpha 60.00
_cell_angle_beta 60.00
_cell_angle_gamma 60.00
_space_group_name_H-M_alt 'P 1'
_space_group_IT_number 1
_space_group_name_Hall 'P 1'
loop_
_atom_site_label
_atom_site_fract_x
_atom_site_fract_y
_atom_site_fract_z
Li1 0.500 0.500 0.500
Eu1 0.000 0.000 0.000
Sb1 0.750 0.750 0.750
Sb2 0.250 0.250 0.250
```

***

LiEuSb2: optimized geometry, PBE-GGA.

Values from the calculation:
The crystal system is tetragonal. The calculation puts the total energy at -5.78 eV per atom. As for the density: 6.4 g/cm³. The excess energy over the best structure of this formula in the dataset is 0 meV per atom. The value obtained for the formation energy without anion corrections is -668 meV per atom. As for the total magnetization: 6.840 μB per formula unit. As for the space-group type: No. 123.

CIF file:
```
data_LiEuSb2
_cell_length_a 4.446
_cell_length_b 4.846
_cell_length_c 4.846
_cell_angle_alpha 90.00
_cell_angle_beta 90.00
_cell_angle_gamma 90.00
_space_group_name_H-M_alt 'P 1'
_space_group_IT_number 1
_space_group_name_Hall 'P 1'
loop_
_atom_site_label
_atom_site_fract_x
_atom_site_fract_y
_atom_site_fract_z
Sb1 0.000 0.500 0.000
Li1 0.500 0.000 0.000
Eu1 0.500 0.500 0.500
Sb2 0.000 0.000 0.500
```

***

Li2EuSb: optimized geometry, PBE-GGA.

Values from the calculation:
The crystal system is cubic. The calculation puts the total energy at -5.09 eV per atom. As for the density: 5.6 g/cm³. The value obtained for the formation energy without anion corrections is -534 meV per atom. As for the total magnetization: 7.324 μB per formula unit. As for the space-group type: No. 225.

CIF file:
```
data_Li2EuSb
_cell_length_a 4.933
_cell_length_b 4.933
_cell_length_c 4.933
_cell_angle_alpha 60.00
_cell_angle_beta 60.00
_cell_angle_gamma 60.00
_space_group_name_H-M_alt 'P 1'
_space_group_IT_number 1
_space_group_name_Hall 'P 1'
loop_
_atom_site_label
_atom_site_fract_x
_atom_site_fract_y
_atom_site_fract_z
Sb1 0.000 0.000 0.000
Li1 0.250 0.250 0.250
Li2 0.750 0.750 0.750
Eu1 0.500 0.500 0.500
```

***

LiEuSnSb: optimized geometry, PBE-GGA.

Values from the calculation:
The crystal system is cubic. The calculation puts the total energy at -5.56 eV per atom. As for the density: 6.2 g/cm³. The value obtained for the formation energy without anion corrections is -483 meV per atom. As for the total magnetization: 6.792 μB per formula unit. As for the space-group type: No. 216.

CIF file:
```
data_LiEuSnSb
_cell_length_a 5.319
_cell_length_b 5.319
_cell_length_c 5.319
_cell_angle_alpha 60.00
_cell_angle_beta 60.00
_cell_angle_gamma 60.00
_space_group_name_H-M_alt 'P 1'
_space_group_IT_number 1
_space_group_name_Hall 'P 1'
loop_
_atom_site_label
_atom_site_fract_x
_atom_site_fract_y
_atom_site_fract_z
Eu1 0.000 0.000 0.000
Sb1 0.750 0.750 0.750
Li1 0.500 0.500 0.500
Sn1 0.250 0.250 0.250
```

***

SrLiEuSb: optimized geometry, PBE-GGA.

Values from the calculation:
The crystal system is cubic. The calculation puts the total energy at -5.04 eV per atom. As for the density: 4.9 g/cm³. The value obtained for the formation energy without anion corrections is -537 meV per atom. As for the total magnetization: 7.241 μB per formula unit. As for the space-group type: No. 216.

CIF file:
```
data_SrLiEuSb
_cell_length_a 5.593
_cell_length_b 5.593
_cell_length_c 5.593
_cell_angle_alpha 60.00
_cell_angle_beta 60.00
_cell_angle_gamma 60.00
_space_group_name_H-M_alt 'P 1'
_space_group_IT_number 1
_space_group_name_Hall 'P 1'
loop_
_atom_site_label
_atom_site_fract_x
_atom_site_fract_y
_atom_site_fract_z
Li1 0.000 0.000 0.000
Sr1 0.250 0.250 0.250
Eu1 0.750 0.750 0.750
Sb1 0.500 0.500 0.500
```

***

LiTbEuSb: optimized geometry, PBE-GGA.

Values from the calculation:
The crystal system is cubic. The calculation puts the total energy at -5.70 eV per atom. As for the density: 6.8 g/cm³. The value obtained for the formation energy without anion corrections is -469 meV per atom. As for the total magnetization: 7.863 μB per formula unit. As for the space-group type: No. 216.

CIF file:
```
data_LiTbEuSb
_cell_length_a 5.337
_cell_length_b 5.337
_cell_length_c 5.337
_cell_angle_alpha 60.00
_cell_angle_beta 60.00
_cell_angle_gamma 60.00
_space_group_name_H-M_alt 'P 1'
_space_group_IT_number 1
_space_group_name_Hall 'P 1'
loop_
_atom_site_label
_atom_site_fract_x
_atom_site_fract_y
_atom_site_fract_z
Eu1 0.750 0.750 0.750
Sb1 0.500 0.500 0.500
Tb1 0.250 0.250 0.250
Li1 0.000 0.000 0.000
```

***

What is the total magnetization in the sixth record? 6.792 μB per formula unit

***

Number 7 is which compound? SrLiEuSb

***

Among the records above, which one has the lowest total magnetization? LiEuSnSb

***

What did the fourth record say?
LiEuSb2: optimized geometry, PBE-GGA.

Values from the calculation:
The crystal system is tetragonal. The calculation puts the total energy at -5.78 eV per atom. As for the density: 6.4 g/cm³. The excess energy over the best structure of this formula in the dataset is 0 meV per atom. The value obtained for the formation energy without anion corrections is -668 meV per atom. As for the total magnetization: 6.840 μB per formula unit. As for the space-group type: No. 123.

CIF file:
```
data_LiEuSb2
_cell_length_a 4.446
_cell_length_b 4.846
_cell_length_c 4.846
_cell_angle_alpha 90.00
_cell_angle_beta 90.00
_cell_angle_gamma 90.00
_space_group_name_H-M_alt 'P 1'
_space_group_IT_number 1
_space_group_name_Hall 'P 1'
loop_
_atom_site_label
_atom_site_fract_x
_atom_site_fract_y
_atom_site_fract_z
Sb1 0.000 0.500 0.000
Li1 0.500 0.000 0.000
Eu1 0.500 0.500 0.500
Sb2 0.000 0.000 0.500
```